! Tb15Pr4Sc PBE optimized geometry; values from VASP
&SYSTEM
  ibrav = 0, nat = 20, ntyp = 3
/
ATOMIC_SPECIES
Tb 158.93 Tb.upf
Pr 140.91 Pr.upf
Sc 44.96 Sc.upf
ATOMIC_POSITIONS angstrom
Tb 0.000 0.000 0.000
Tb 0.000 0.000 4.949
Tb 0.000 0.000 10.063
Tb 0.000 0.000 15.164
Tb 0.000 0.000 20.278
Tb 0.000 2.534 2.396
Tb 0.000 2.534 7.505
Tb 0.000 2.534 12.613
Tb 0.000 2.534 17.721
Tb 0.000 2.534 22.831
Tb 2.534 0.000 2.396
Tb 2.534 0.000 7.505
Tb 2.534 0.000 12.613
Tb 2.534 0.000 17.721
Tb 2.534 0.000 22.831
Pr 2.534 2.534 4.972
Pr 2.534 2.534 10.058
Pr 2.534 2.534 15.169
Pr 2.534 2.534 20.255
Sc 2.534 2.534 0.000
CELL_PARAMETERS angstrom
5.069 0.000 0.000
0.000 5.069 0.000
0.000 0.000 25.227
! - Crystal system: tetragonal
! - DFT total energy: -94.4 eV per formula unit